# 1
First-principles (PBE) data for a relaxed Pm5SmRu2 crystal, as listed in the Alexandria database.

a b c (Å): 5.105 7.241 7.241
angles (deg): 73.54 69.36 69.36
Atoms (fractional coordinates):
Sm 0.000 0.000 0.000
Pm 0.332 0.859 0.477
Pm 0.668 0.141 0.523
Pm 0.332 0.477 0.859
Ru 0.717 0.783 0.783
Pm 0.000 0.500 0.500
Ru 0.283 0.217 0.217
Pm 0.668 0.523 0.141

Raw total energy: -0.4299 Ry per atom
N(E_F): 1.288 states/eV per atom
Formation energy from the elements: 0.2 eV per formula unit


# 2
First-principles (PBE) data for a relaxed Dy3Zr5Al12 crystal, as listed in the Alexandria database.

a b c (Å): 14.219 14.219 14.219
angles (deg): 109.47 109.47 109.47
Last column: magnetic moment on the atom in μB.
Atoms (fractional coordinates):
Al 0.075 0.651 0.724  0.01
Al 0.927 0.076 0.651  0.01
Al 0.724 0.151 0.075  0.01
Zr 0.750 0.625 0.375  0.20
Al 0.149 0.073 0.724  0.01
Al 0.073 0.149 0.224  0.01
Zr 0.375 0.250 0.125  0.20
Zr 0.500 0.000 0.500  0.01
Al 0.573 0.724 0.649  0.01
Al 0.076 0.149 0.425  0.01
Al 0.776 0.425 0.349  0.01
Al 0.924 0.073 0.849  0.01
Al 0.425 0.649 0.076  0.01
Al 0.224 0.649 0.073  0.01
Zr 0.375 0.125 0.750  0.20
Zr 0.000 0.500 0.500  0.01
Al 0.073 0.924 0.349  0.01
Al 0.224 0.575 0.651  0.01
Al 0.925 0.576 0.149  0.01
Zr 0.250 0.875 0.125  0.20
Dy 0.125 0.250 0.875  0.02
Dy 0.875 0.750 0.125  0.02
Al 0.151 0.427 0.076  0.01
Al 0.724 0.573 0.149  0.01
Al 0.924 0.851 0.575  0.01
Dy 0.375 0.750 0.625  0.02
Al 0.575 0.224 0.151  0.01
Al 0.075 0.424 0.851  0.01
Al 0.424 0.349 0.573  0.01
Dy 0.250 0.125 0.375  0.02
Dy 0.375 0.625 0.250  0.02
Zr 0.250 0.375 0.625  0.20
Zr 0.125 0.375 0.250  0.20
Al 0.076 0.927 0.151  0.01
Zr 0.750 0.125 0.875  0.20
Zr 0.000 0.000 0.500  0.01
Zr 0.500 0.500 0.500  0.01
Al 0.851 0.924 0.075  0.01
Al 0.149 0.076 0.925  0.01
Zr 0.875 0.625 0.750  0.20
Al 0.649 0.425 0.576  0.01
Dy 0.125 0.875 0.750  0.02
Dy 0.750 0.875 0.625  0.02
Al 0.925 0.349 0.276  0.01
Al 0.276 0.849 0.925  0.01
Dy 0.250 0.625 0.875  0.02
Al 0.851 0.927 0.276  0.01
Al 0.276 0.427 0.851  0.01
Al 0.351 0.575 0.424  0.01
Al 0.427 0.276 0.351  0.01
Al 0.849 0.276 0.425  0.01
Al 0.776 0.351 0.927  0.01
Al 0.349 0.925 0.776  0.01
Dy 0.625 0.375 0.750  0.02
Al 0.424 0.075 0.351  0.01
Al 0.651 0.576 0.927  0.01
Zr 0.125 0.750 0.375  0.20
Al 0.927 0.851 0.776  0.01
Zr 0.625 0.875 0.250  0.20
Al 0.427 0.151 0.576  0.01
Dy 0.750 0.375 0.125  0.02
Al 0.576 0.651 0.427  0.01
Zr 0.500 0.000 0.000  0.01
Al 0.151 0.724 0.575  0.01
Al 0.351 0.776 0.427  0.01
Al 0.425 0.776 0.849  0.01
Zr 0.875 0.250 0.625  0.20
Zr 0.000 0.000 0.000  0.01
Al 0.649 0.224 0.573  0.01
Al 0.651 0.075 0.224  0.01
Al 0.349 0.424 0.073  0.01
Al 0.849 0.573 0.924  0.01
Al 0.573 0.849 0.424  0.01
Zr 0.000 0.500 0.000  0.01
Dy 0.625 0.250 0.375  0.02
Dy 0.875 0.125 0.250  0.02
Zr 0.500 0.500 0.000  0.01
Zr 0.625 0.750 0.875  0.20
Al 0.576 0.925 0.649  0.01
Al 0.575 0.351 0.924  0.01

Raw total energy: -0.3277 Ry per atom
N(E_F): 1.214 states/eV per atom
Formation energy from the elements: 12.3 eV per formula unit


# 3
First-principles (PBE) data for a relaxed Li3FeSb crystal, as listed in the Alexandria database.

a b c (Å): 5.134 5.134 5.134
angles (deg): 90.00 90.00 90.00
Last column: magnetic moment on the atom in μB.
Atoms (fractional coordinates):
Sb 0.000 0.000 0.000  0.11
Li 0.000 0.000 0.500  0.00
Fe 0.500 0.500 0.500  3.36
Li 0.500 0.000 0.000  0.00
Li 0.000 0.500 0.000  0.00

Raw total energy: -0.2352 Ry per atom
N(E_F): 2.824 states/eV per atom
Raw formation energy: 0.47 eV per atom
Excess energy over the best structure of this formula in the dataset: 0.0 meV/atom


# 4
First-principles (PBE) data for a relaxed KPmVS4 crystal, as listed in the Alexandria database.

a b c (Å): 6.656 6.595 8.793
angles (deg): 90.00 107.35 90.00
Last column: magnetic moment on the atom in μB.
Atoms (fractional coordinates):
Pm 0.776 0.750 0.451  0.03
Pm 0.224 0.250 0.549  0.03
S 0.580 0.250 0.425  -0.02
S 0.420 0.750 0.575  -0.02
S 0.000 0.502 0.714  -0.02
S 0.000 0.998 0.714  -0.02
S 0.000 0.002 0.286  -0.02
S 0.000 0.498 0.286  -0.02
S 0.572 0.250 0.836  -0.03
S 0.428 0.750 0.164  -0.03
V 0.768 0.250 0.675  0.91
V 0.232 0.750 0.325  0.91
K 0.269 0.250 0.063  0.00
K 0.731 0.750 0.937  0.00

Raw total energy: -0.4318 Ry per atom
N(E_F): 0.662 states/eV per atom
Raw formation energy: -1.38 eV per atom


# 5
First-principles (PBE) data for a relaxed ZnCoPb crystal, as listed in the Alexandria database.

a b c (Å): 3.191 3.191 6.416
angles (deg): 90.00 90.00 120.00
Last column: magnetic moment on the atom in μB.
Atoms (fractional coordinates):
Pb 0.667 0.333 0.302  -0.02
Zn 0.333 0.667 0.718  -0.03
Co 0.000 0.000 0.980  1.05

Raw total energy: -0.2635 Ry per atom
N(E_F): 1.090 states/eV per atom
Excess energy over the best structure of this formula in the dataset: 168.0 meV/atom
Formation energy from the elements: 1.3 eV per formula unit


# 6
First-principles (PBE) data for a relaxed ZrCr2As crystal, as listed in the Alexandria database.

a b c (Å): 5.044 5.044 4.098
angles (deg): 66.05 66.05 42.77
Last column: magnetic moment on the atom in μB.
Atoms (fractional coordinates):
Cr 0.990 0.990 0.010  -2.25
Cr 0.260 0.260 0.240  2.56
As 0.747 0.747 0.753  -0.03
Zr 0.504 0.504 0.496  0.11

Raw total energy: -0.5971 Ry per atom
N(E_F): 0.859 states/eV per atom
Formation energy from the elements: 0.0 eV per formula unit


# 7
First-principles (PBE) data for a relaxed La3Pr2Sm6In crystal, as listed in the Alexandria database.

a b c (Å): 6.263 6.263 12.043
angles (deg): 95.03 95.03 120.08
Atoms (fractional coordinates):
Sm 0.757 0.757 0.247
Pr 0.666 0.334 0.000
Sm 0.406 0.081 0.245
Sm 0.594 0.919 0.755
In 0.000 0.000 0.000
Sm 0.243 0.243 0.753
Sm 0.919 0.594 0.755
La 0.500 0.500 0.500
La 0.170 0.830 0.500
La 0.830 0.170 0.500
Pr 0.334 0.666 0.000
Sm 0.081 0.406 0.245

Raw total energy: -0.3433 Ry per atom
N(E_F): 1.314 states/eV per atom
Formation energy from the elements: -0.7 eV per formula unit


# 8
First-principles (PBE) data for a relaxed TmBPd5 crystal, as listed in the Alexandria database.

a b c (Å): 3.907 3.907 7.006
angles (deg): 90.00 90.00 90.00
Atoms (fractional coordinates):
Pd 0.500 0.000 0.811
Tm 0.000 0.000 0.500
Pd 0.000 0.500 0.189
Pd 0.000 0.500 0.811
Pd 0.500 0.000 0.189
Pd 0.500 0.500 0.500
B 0.500 0.500 0.000

Raw total energy: -0.4293 Ry per atom
N(E_F): 0.655 states/eV per atom
Formation energy from the elements: -3.8 eV per formula unit


# 9
First-principles (PBE) data for a relaxed ZnSnO2F crystal, as listed in the Alexandria database.

a b c (Å): 4.046 4.046 4.239
angles (deg): 90.00 90.00 90.00
Atoms (fractional coordinates):
O 0.500 0.000 0.000
O 0.000 0.500 0.000
Sn 0.000 0.000 0.000
F 0.000 0.000 0.500
Zn 0.500 0.500 0.500

Raw total energy: -0.3317 Ry per atom
N(E_F): 0.363 states/eV per atom
Raw formation energy: -1.10 eV per atom


# 10
First-principles (PBE) data for a relaxed NaGeIO6 crystal, as listed in the Alexandria database.

a b c (Å): 5.078 5.078 10.601
angles (deg): 90.00 90.00 120.00
Atoms (fractional coordinates):
O 0.376 0.378 0.852
I 0.667 0.333 0.250
O 0.622 0.624 0.648
O 0.998 0.622 0.352
I 0.333 0.667 0.750
Ge 0.667 0.333 0.750
O 0.622 0.998 0.852
Na 0.000 0.000 0.000
O 0.378 0.002 0.148
O 0.998 0.376 0.148
O 0.624 0.002 0.352
O 0.376 0.998 0.648
Na 0.000 0.000 0.500
Ge 0.333 0.667 0.250
O 0.002 0.624 0.852
O 0.378 0.376 0.352
O 0.624 0.622 0.148
O 0.002 0.378 0.648

Raw total energy: -0.3794 Ry per atom
N(E_F): 0.000 states/eV per atom
Raw formation energy: -1.02 eV per atom


# 11
First-principles (PBE) data for a relaxed VBiSb2 crystal, as listed in the Alexandria database.

a b c (Å): 3.423 3.423 10.350
angles (deg): 80.48 80.48 60.00
Atoms (fractional coordinates):
Sb 0.105 0.105 0.684
Bi 0.000 0.000 0.000
Sb 0.895 0.895 0.316
V 0.500 0.500 0.500

Raw total energy: -0.3872 Ry per atom
N(E_F): 0.396 states/eV per atom
Raw formation energy: 0.04 eV per atom


# 12
First-principles (PBE) data for a relaxed NdErIrPd crystal, as listed in the Alexandria database.

a b c (Å): 4.964 4.964 4.964
angles (deg): 60.00 60.00 60.00
Atoms (fractional coordinates):
Pd 0.000 0.000 0.000
Er 0.250 0.250 0.250
Ir 0.500 0.500 0.500
Nd 0.750 0.750 0.750

Raw total energy: -0.4884 Ry per atom
N(E_F): 0.601 states/eV per atom
Formation energy from the elements: -3.2 eV per formula unit


Question: Which of these has the lowest N(E_F)?
Answer: NaGeIO6